(1)
Computed, not measured: crystalline Y2Ni12P3Au at its relaxed geometry at the PBE level of DFT.

a b c (Å): 7.162 7.162 7.162
angles (deg): 64.20 64.20 64.20
Positions (direct):
P 0.000 0.000 0.500
P 0.500 0.000 0.000
P 0.000 0.500 0.000
Ni 0.399 0.863 0.863
Ni 0.104 0.659 0.659
Ni 0.341 0.896 0.341
Ni 0.601 0.137 0.137
Ni 0.659 0.104 0.659
Ni 0.137 0.601 0.137
Ni 0.896 0.341 0.341
Ni 0.863 0.863 0.399
Ni 0.863 0.399 0.863
Ni 0.341 0.341 0.896
Ni 0.659 0.659 0.104
Ni 0.137 0.137 0.601
Y 0.603 0.603 0.603
Y 0.397 0.397 0.397
Au 0.000 0.000 0.000

DFT formation energy in eV per formula unit: -0.06
Energy in eV per cell: -101.875
Spin magnetization in μB/cell: 0.0

=====

(2)
Computed, not measured: crystalline BaPH2Ir2 at its relaxed geometry at the PBE level of DFT.

a b c (Å): 5.540 6.439 6.444
angles (deg): 101.53 90.00 90.00
Positions (direct):
H 0.750 0.731 0.645
H 0.250 0.269 0.355
H 0.250 0.646 0.729
H 0.750 0.354 0.271
Ir 0.500 0.819 0.818
Ir 0.000 0.819 0.818
Ir 0.000 0.181 0.182
Ir 0.500 0.181 0.182
P 0.750 0.887 0.112
P 0.250 0.113 0.888
Ba 0.250 0.699 0.300
Ba 0.750 0.301 0.700

Energy in eV per cell: -68.582
Spin magnetization in μB/cell: 0.0

=====

(3)
Computed, not measured: crystalline Tb2CeCo at its relaxed geometry at the PBE level of DFT.

a b c (Å): 3.536 3.536 10.459
angles (deg): 80.27 80.27 60.00
Positions (direct):
Ce 0.000 0.000 0.000
Tb 0.888 0.888 0.336
Tb 0.112 0.112 0.664
Co 0.500 0.500 0.500

DFT formation energy in eV per formula unit: 0.79
Distance to the lowest polymorph of the same formula in eV/atom: 0.367
Energy in eV per cell: -21.506
Spin magnetization in μB/cell: 1.5

=====

(4)
Computed, not measured: crystalline ReTc2P at its relaxed geometry at the PBE level of DFT.

a b c (Å): 2.859 3.934 5.077
angles (deg): 90.00 90.00 90.00
Positions (direct):
Re 0.500 0.500 0.763
Tc 0.000 0.000 0.971
Tc 0.500 0.500 0.288
P 0.000 0.000 0.478

DFT formation energy in eV per formula unit: 0.26
Energy in eV per cell: -38.333
Spin magnetization in μB/cell: 0.0

=====

(5)
Computed, not measured: crystalline Pm8Co2Pb at its relaxed geometry at the PBE level of DFT.

a b c (Å): 5.473 8.119 8.119
angles (deg): 114.98 97.06 97.06
Positions (direct):
Co 0.000 0.702 0.298
Co 0.000 0.298 0.702
Pm 0.937 0.669 0.927
Pm 0.500 0.252 0.748
Pm 0.063 0.073 0.331
Pm 0.299 0.603 0.603
Pm 0.701 0.397 0.397
Pm 0.063 0.331 0.073
Pm 0.937 0.927 0.669
Pm 0.500 0.748 0.252
Pb 0.500 0.000 0.000

DFT formation energy in eV per formula unit: -0.97
Energy in eV per cell: -56.895
Spin magnetization in μB/cell: 0.0

=====

(6)
Computed, not measured: crystalline BaCdIn2O at its relaxed geometry at the PBE level of DFT.

a b c (Å): 5.135 5.213 5.135
angles (deg): 90.00 90.00 90.00
Positions (direct):
In 0.500 0.000 0.000
In 0.000 0.000 0.500
O 0.000 0.000 0.000
Ba 0.000 0.500 0.000
Cd 0.500 0.500 0.500

Distance to the lowest polymorph of the same formula in eV/atom: 0.000
Energy in eV per cell: -16.387
Spin magnetization in μB/cell: 0.0

=====

(7)
Computed, not measured: crystalline FeCuAs2 at its relaxed geometry at the PBE level of DFT.

a b c (Å): 7.444 7.444 7.444
angles (deg): 23.97 23.97 23.97
Positions (direct):
Cu 0.250 0.250 0.250
Fe 0.750 0.750 0.750
As 0.006 0.006 0.006
As 0.494 0.494 0.494

DFT formation energy in eV per formula unit: 0.30
Distance to the lowest polymorph of the same formula in eV/atom: 0.000
Energy in eV per cell: -21.560
Spin magnetization in μB/cell: 1.7

=====

(8)
Computed, not measured: crystalline Li2ZnPb at its relaxed geometry at the PBE level of DFT.

a b c (Å): 5.452 5.452 5.452
angles (deg): 140.71 130.45 64.99
Positions (direct):
Li 0.011 0.011 0.000
Li 0.756 0.256 0.500
Zn 0.239 0.739 0.500
Pb 0.494 0.494 0.000

DFT formation energy in eV per formula unit: -0.65
Energy in eV per cell: -9.457
Spin magnetization in μB/cell: 0.0